1.
{
  "formula": "Mg2NbCdIr",
  "functional": "PBE",
  "state": "relaxed",
  "delta_e_f_ev_per_atom": 1.216,
  "volume_a3_per_atom": 22.88,
  "dft_energy_ev_per_atom": -3.391,
  "cell": [[4.788, 0.000, 0.000], [0.000, 4.788, 0.000], [0.000, 0.000, 4.990]],
  "species": ["Mg", "Mg", "Nb", "Cd", "Ir"],
  "fractional_positions": [[0.000, 0.500, 0.000], [0.500, 0.000, 0.000], [0.000, 0.000, 0.500], [0.500, 0.500, 0.000], [0.500, 0.500, 0.500]]
}

---

2.
{
  "formula": "Mg5Cd2IrPd2",
  "functional": "PBE",
  "state": "relaxed",
  "delta_e_f_ev_per_atom": -0.371,
  "volume_a3_per_atom": 19.37,
  "dft_energy_ev_per_atom": -3.276,
  "cell": [[11.275, 0.000, 0.000], [0.000, 11.275, 0.000], [0.000, 0.000, 3.048]],
  "species": ["Mg", "Mg", "Mg", "Mg", "Mg", "Mg", "Mg", "Mg", "Mg", "Mg", "Cd", "Cd", "Cd", "Cd", "Ir", "Ir", "Pd", "Pd", "Pd", "Pd"],
  "fractional_positions": [[0.000, 0.500, 0.000], [0.049, 0.189, 0.000], [0.189, 0.951, 0.000], [0.311, 0.451, 0.000], [0.451, 0.689, 0.000], [0.500, 0.000, 0.000], [0.549, 0.311, 0.000], [0.689, 0.549, 0.000], [0.811, 0.049, 0.000], [0.951, 0.811, 0.000], [0.180, 0.680, 0.500], [0.320, 0.180, 0.500], [0.680, 0.820, 0.500], [0.820, 0.320, 0.500], [0.000, 0.000, 0.500], [0.500, 0.500, 0.500], [0.138, 0.362, 0.500], [0.362, 0.862, 0.500], [0.638, 0.138, 0.500], [0.862, 0.638, 0.500]]
}